Arrangement one

# Hg3Ru PBE optimized geometry
data_Hg3Ru
_symmetry_space_group_name_H-M 'R -3 m'
_symmetry_Int_Tables_number 166
_symmetry_space_group_name_Hall '-R 3 2"'
_cell_length_a 9.6092
_cell_length_b 9.6092
_cell_length_c 3.0129
_cell_angle_alpha 90.00
_cell_angle_beta 90.00
_cell_angle_gamma 120.00
loop_
_atom_site_label
_atom_site_fract_x
_atom_site_fract_y
_atom_site_fract_z
_atom_site_occupancy
Hg1 0.0000 0.5000 0.0000 1
Ru1 0.0000 0.0000 0.0000 1
# Spin magnetization ... 3.83 Bohr magnetons per cell

***

Arrangement two

# Hg3Ru PBE optimized geometry
data_Hg3Ru
_symmetry_space_group_name_H-M 'P -6 m 2'
_symmetry_Int_Tables_number 187
_symmetry_space_group_name_Hall 'P -6 2'
_cell_length_a 3.0849
_cell_length_b 3.0849
_cell_length_c 9.9130
_cell_angle_alpha 90.00
_cell_angle_beta 90.00
_cell_angle_gamma 120.00
loop_
_atom_site_label
_atom_site_fract_x
_atom_site_fract_y
_atom_site_fract_z
_atom_site_occupancy
Hg1 0.0000 0.0000 0.0000 1
Hg2 0.6667 0.3333 0.2746 1
Ru1 0.0000 0.0000 0.5000 1
# Spin magnetization ... 0.75 Bohr magnetons per cell

***

Pick arrangement two: it beats the second-best structure by 46 meV per atom.

***

Arrangement one

# Hg3Ru PBE optimized geometry
data_Hg3Ru
_symmetry_space_group_name_H-M 'P m m m'
_symmetry_Int_Tables_number 47
_symmetry_space_group_name_Hall '-P 2 2'
_cell_length_a 3.101
_cell_length_b 4.228
_cell_length_c 6.077
_cell_angle_alpha 90.00
_cell_angle_beta 90.00
_cell_angle_gamma 90.00
loop_
_atom_site_label
_atom_site_fract_x
_atom_site_fract_y
_atom_site_fract_z
_atom_site_occupancy
Hg1 0.000 0.000 0.000 1
Hg2 0.500 0.500 0.268 1
Ru1 0.000 0.000 0.500 1
# Spin magnetization ... 0.86 Bohr magnetons per cell

***

Arrangement two

# Hg3Ru PBE optimized geometry
data_Hg3Ru
_symmetry_space_group_name_H-M 'I m m m'
_symmetry_Int_Tables_number 71
_symmetry_space_group_name_Hall '-I 2 2'
_cell_length_a 2.963
_cell_length_b 4.677
_cell_length_c 13.129
_cell_angle_alpha 90.00
_cell_angle_beta 90.00
_cell_angle_gamma 90.00
loop_
_atom_site_label
_atom_site_fract_x
_atom_site_fract_y
_atom_site_fract_z
_atom_site_occupancy
Hg1 0.000 0.000 0.000 1
Hg2 0.000 0.500 0.183 1
Ru1 0.000 0.000 0.500 1
# Spin magnetization ... 0.00 Bohr magnetons per cell

***

Arrangement three

# Hg3Ru PBE optimized geometry
data_Hg3Ru
_symmetry_space_group_name_H-M 'P n m a'
_symmetry_Int_Tables_number 62
_symmetry_space_group_name_Hall '-P 2ac 2n'
_cell_length_a 7.094
_cell_length_b 8.485
_cell_length_c 5.774
_cell_angle_alpha 90.00
_cell_angle_beta 90.00
_cell_angle_gamma 90.00
loop_
_atom_site_label
_atom_site_fract_x
_atom_site_fract_y
_atom_site_fract_z
_atom_site_occupancy
Hg1 0.033 0.250 0.130 1
Hg2 0.186 0.040 0.642 1
Ru1 0.116 0.750 0.411 1
# Spin magnetization ... 0.00 Bohr magnetons per cell

***

Pick arrangement two: it beats the second-best structure by 26 meV per atom.

***

Arrangement one

# HgRu4 PBE optimized geometry
data_HgRu4
_symmetry_space_group_name_H-M 'I 4/m'
_symmetry_Int_Tables_number 87
_symmetry_space_group_name_Hall '-I 4'
_cell_length_a 6.253
_cell_length_b 6.253
_cell_length_c 3.881
_cell_angle_alpha 90.00
_cell_angle_beta 90.00
_cell_angle_gamma 90.00
loop_
_atom_site_label
_atom_site_fract_x
_atom_site_fract_y
_atom_site_fract_z
_atom_site_occupancy
Hg1 0.000 0.000 0.000 1
Ru1 0.093 0.687 0.500 1
# Spin magnetization ... 0.00 Bohr magnetons per cell

***

Arrangement two

# HgRu4 PBE optimized geometry
data_HgRu4
_symmetry_space_group_name_H-M 'P m -3 m'
_symmetry_Int_Tables_number 221
_symmetry_space_group_name_Hall '-P 4 2 3'
_cell_length_a 4.886
_cell_length_b 4.886
_cell_length_c 4.886
_cell_angle_alpha 90.00
_cell_angle_beta 90.00
_cell_angle_gamma 90.00
loop_
_atom_site_label
_atom_site_fract_x
_atom_site_fract_y
_atom_site_fract_z
_atom_site_occupancy
Hg1 0.000 0.000 0.000 1
Ru1 0.000 0.000 0.500 1
Ru2 0.500 0.500 0.500 1
# Spin magnetization ... 8.15 Bohr magnetons per cell

***

Pick arrangement one: it beats the second-best structure by 2368 meV per atom.

***

Arrangement one

# HgRuS3 PBE optimized geometry
data_HgRuS3
_symmetry_space_group_name_H-M 'P m -3 m'
_symmetry_Int_Tables_number 221
_symmetry_space_group_name_Hall '-P 4 2 3'
_cell_length_a 4.670
_cell_length_b 4.670
_cell_length_c 4.670
_cell_angle_alpha 90.00
_cell_angle_beta 90.00
_cell_angle_gamma 90.00
loop_
_atom_site_label
_atom_site_fract_x
_atom_site_fract_y
_atom_site_fract_z
_atom_site_occupancy
Hg1 0.000 0.000 0.000 1
Ru1 0.500 0.500 0.500 1
S1 0.000 0.500 0.500 1
# Spin magnetization ... 0.00 Bohr magnetons per cell

***

Arrangement two

# HgRuS3 PBE optimized geometry
data_HgRuS3
_symmetry_space_group_name_H-M 'P m -3 m'
_symmetry_Int_Tables_number 221
_symmetry_space_group_name_Hall '-P 4 2 3'
_cell_length_a 4.942
_cell_length_b 4.942
_cell_length_c 4.942
_cell_angle_alpha 90.00
_cell_angle_beta 90.00
_cell_angle_gamma 90.00
loop_
_atom_site_label
_atom_site_fract_x
_atom_site_fract_y
_atom_site_fract_z
_atom_site_occupancy
Hg1 0.000 0.000 0.000 1
Ru1 0.500 0.500 0.500 1
S1 0.000 0.000 0.500 1
# Spin magnetization ... 4.38 Bohr magnetons per cell

***

Pick arrangement one: it beats the second-best structure by 1102 meV per atom.

***

Arrangement one

# Hg3RuS PBE optimized geometry
data_Hg3RuS
_symmetry_space_group_name_H-M 'P m -3 m'
_symmetry_Int_Tables_number 221
_symmetry_space_group_name_Hall '-P 4 2 3'
_cell_length_a 5.274
_cell_length_b 5.274
_cell_length_c 5.274
_cell_angle_alpha 90.00
_cell_angle_beta 90.00
_cell_angle_gamma 90.00
loop_
_atom_site_label
_atom_site_fract_x
_atom_site_fract_y
_atom_site_fract_z
_atom_site_occupancy
Hg1 0.000 0.000 0.500 1
Ru1 0.000 0.000 0.000 1
S1 0.500 0.500 0.500 1
# Spin magnetization ... 2.86 Bohr magnetons per cell

***

Arrangement two

# Hg3RuS PBE optimized geometry
data_Hg3RuS
_symmetry_space_group_name_H-M 'P m -3 m'
_symmetry_Int_Tables_number 221
_symmetry_space_group_name_Hall '-P 4 2 3'
_cell_length_a 5.114
_cell_length_b 5.114
_cell_length_c 5.114
_cell_angle_alpha 90.00
_cell_angle_beta 90.00
_cell_angle_gamma 90.00
loop_
_atom_site_label
_atom_site_fract_x
_atom_site_fract_y
_atom_site_fract_z
_atom_site_occupancy
Hg1 0.000 0.000 0.500 1
Ru1 0.500 0.500 0.500 1
S1 0.000 0.000 0.000 1
# Spin magnetization ... 2.66 Bohr magnetons per cell

***

Pick arrangement one: it beats the second-best structure by 353 meV per atom.

***

Arrangement one

# Sc4HgRu PBE optimized geometry
data_Sc4HgRu
_symmetry_space_group_name_H-M 'F -4 3 m'
_symmetry_Int_Tables_number 216
_symmetry_space_group_name_Hall 'F -4 2 3'
_cell_length_a 7.859
_cell_length_b 7.859
_cell_length_c 7.859
_cell_angle_alpha 90.00
_cell_angle_beta 90.00
_cell_angle_gamma 90.00
loop_
_atom_site_label
_atom_site_fract_x
_atom_site_fract_y
_atom_site_fract_z
_atom_site_occupancy
Sc1 0.123 0.123 0.377 1
Hg1 0.000 0.000 0.000 1
Ru1 0.250 0.250 0.750 1
# Spin magnetization ... 0.02 Bohr magnetons per cell

***

Arrangement two

# Sc4HgRu PBE optimized geometry
data_Sc4HgRu
_symmetry_space_group_name_H-M 'C 1 2/c 1'
_symmetry_Int_Tables_number 15
_symmetry_space_group_name_Hall '-C 2yc'
_cell_length_a 8.113
_cell_length_b 11.771
_cell_length_c 5.835
_cell_angle_alpha 90.00
_cell_angle_beta 106.45
_cell_angle_gamma 90.00
loop_
_atom_site_label
_atom_site_fract_x
_atom_site_fract_y
_atom_site_fract_z
_atom_site_occupancy
Sc1 0.105 0.172 0.048 1
Sc2 0.216 0.418 0.397 1
Hg1 0.000 0.373 0.750 1
Ru1 0.000 0.001 0.250 1
# Spin magnetization ... 0.00 Bohr magnetons per cell

***

Pick arrangement two: it beats the second-best structure by 722 meV per atom.

***

Arrangement one

# ScHgRu3 PBE optimized geometry
data_ScHgRu3
_symmetry_space_group_name_H-M 'P m -3 m'
_symmetry_Int_Tables_number 221
_symmetry_space_group_name_Hall '-P 4 2 3'
_cell_length_a 4.908
_cell_length_b 4.908
_cell_length_c 4.908
_cell_angle_alpha 90.00
_cell_angle_beta 90.00
_cell_angle_gamma 90.00
loop_
_atom_site_label
_atom_site_fract_x
_atom_site_fract_y
_atom_site_fract_z
_atom_site_occupancy
Sc1 0.000 0.000 0.000 1
Hg1 0.500 0.500 0.500 1
Ru1 0.000 0.500 0.500 1
# Spin magnetization ... 4.35 Bohr magnetons per cell

***

Arrangement two

# ScHgRu3 PBE optimized geometry
data_ScHgRu3
_symmetry_space_group_name_H-M 'P m -3 m'
_symmetry_Int_Tables_number 221
_symmetry_space_group_name_Hall '-P 4 2 3'
_cell_length_a 4.661
_cell_length_b 4.661
_cell_length_c 4.661
_cell_angle_alpha 90.00
_cell_angle_beta 90.00
_cell_angle_gamma 90.00
loop_
_atom_site_label
_atom_site_fract_x
_atom_site_fract_y
_atom_site_fract_z
_atom_site_occupancy
Sc1 0.000 0.000 0.000 1
Hg1 0.500 0.500 0.500 1
Ru1 0.000 0.000 0.500 1
# Spin magnetization ... 3.74 Bohr magnetons per cell

***

Pick arrangement two: it beats the second-best structure by 429 meV per atom.

***

Arrangement one

# Sc3HgRu PBE optimized geometry
data_Sc3HgRu
_symmetry_space_group_name_H-M 'P m -3 m'
_symmetry_Int_Tables_number 221
_symmetry_space_group_name_Hall '-P 4 2 3'
_cell_length_a 4.986
_cell_length_b 4.986
_cell_length_c 4.986
_cell_angle_alpha 90.00
_cell_angle_beta 90.00
_cell_angle_gamma 90.00
loop_
_atom_site_label
_atom_site_fract_x
_atom_site_fract_y
_atom_site_fract_z
_atom_site_occupancy
Sc1 0.000 0.000 0.500 1
Hg1 0.500 0.500 0.500 1
Ru1 0.000 0.000 0.000 1
# Spin magnetization ... 0.00 Bohr magnetons per cell

***

Arrangement two

# Sc3HgRu PBE optimized geometry
data_Sc3HgRu
_symmetry_space_group_name_H-M 'P m -3 m'
_symmetry_Int_Tables_number 221
_symmetry_space_group_name_Hall '-P 4 2 3'
_cell_length_a 5.143
_cell_length_b 5.143
_cell_length_c 5.143
_cell_angle_alpha 90.00
_cell_angle_beta 90.00
_cell_angle_gamma 90.00
loop_
_atom_site_label
_atom_site_fract_x
_atom_site_fract_y
_atom_site_fract_z
_atom_site_occupancy
Sc1 0.000 0.000 0.500 1
Hg1 0.000 0.000 0.000 1
Ru1 0.500 0.500 0.500 1
# Spin magnetization ... 0.43 Bohr magnetons per cell

***

Pick arrangement one: it beats the second-best structure by 1053 meV per atom.

***

Arrangement one

# TbScHgRu PBE optimized geometry
data_TbScHgRu
_symmetry_space_group_name_H-M 'P 4 m m'
_symmetry_Int_Tables_number 99
_symmetry_space_group_name_Hall 'P 4 -2'
_cell_length_a 3.392
_cell_length_b 3.392
_cell_length_c 7.300
_cell_angle_alpha 90.00
_cell_angle_beta 90.00
_cell_angle_gamma 90.00
loop_
_atom_site_label
_atom_site_fract_x
_atom_site_fract_y
_atom_site_fract_z
_atom_site_occupancy
Tb1 0.000 0.000 0.000 1
Sc1 0.000 0.000 0.560 1
Hg1 0.500 0.500 0.304 1
Ru1 0.500 0.500 0.761 1
# Spin magnetization ... 0.00 Bohr magnetons per cell

***

Arrangement two

# TbScHgRu PBE optimized geometry
data_TbScHgRu
_symmetry_space_group_name_H-M 'F -4 3 m'
_symmetry_Int_Tables_number 216
_symmetry_space_group_name_Hall 'F -4 2 3'
_cell_length_a 6.944
_cell_length_b 6.944
_cell_length_c 6.944
_cell_angle_alpha 90.00
_cell_angle_beta 90.00
_cell_angle_gamma 90.00
loop_
_atom_site_label
_atom_site_fract_x
_atom_site_fract_y
_atom_site_fract_z
_atom_site_occupancy
Tb1 0.000 0.000 0.000 1
Sc1 0.000 0.000 0.500 1
Hg1 0.250 0.250 0.250 1
Ru1 0.250 0.250 0.750 1
# Spin magnetization ... 0.00 Bohr magnetons per cell

***

Pick arrangement one: it beats the second-best structure by 149 meV per atom.

***

Arrangement one

# TmScHgRu PBE optimized geometry
data_TmScHgRu
_symmetry_space_group_name_H-M 'F -4 3 m'
_symmetry_Int_Tables_number 216
_symmetry_space_group_name_Hall 'F -4 2 3'
_cell_length_a 6.873
_cell_length_b 6.873
_cell_length_c 6.873
_cell_angle_alpha 90.00
_cell_angle_beta 90.00
_cell_angle_gamma 90.00
loop_
_atom_site_label
_atom_site_fract_x
_atom_site_fract_y
_atom_site_fract_z
_atom_site_occupancy
Tm1 0.000 0.000 0.000 1
Sc1 0.000 0.000 0.500 1
Hg1 0.250 0.250 0.250 1
Ru1 0.250 0.250 0.750 1
# Spin magnetization ... 0.00 Bohr magnetons per cell

***

Arrangement two

# TmScHgRu PBE optimized geometry
data_TmScHgRu
_symmetry_space_group_name_H-M 'P 4 m m'
_symmetry_Int_Tables_number 99
_symmetry_space_group_name_Hall 'P 4 -2'
_cell_length_a 3.366
_cell_length_b 3.366
_cell_length_c 7.215
_cell_angle_alpha 90.00
_cell_angle_beta 90.00
_cell_angle_gamma 90.00
loop_
_atom_site_label
_atom_site_fract_x
_atom_site_fract_y
_atom_site_fract_z
_atom_site_occupancy
Tm1 0.000 0.000 0.000 1
Sc1 0.000 0.000 0.561 1
Hg1 0.500 0.500 0.297 1
Ru1 0.500 0.500 0.766 1
# Spin magnetization ... 0.00 Bohr magnetons per cell

***

Pick arrangement two: it beats the second-best structure by 148 meV per atom.

***

Arrangement one

# SiHgRu2 PBE optimized geometry
data_SiHgRu2
_symmetry_space_group_name_H-M 'I -4 m 2'
_symmetry_Int_Tables_number 119
_symmetry_space_group_name_Hall 'I -4 -2'
_cell_length_a 3.882
_cell_length_b 3.882
_cell_length_c 8.131
_cell_angle_alpha 90.00
_cell_angle_beta 90.00
_cell_angle_gamma 90.00
loop_
_atom_site_label
_atom_site_fract_x
_atom_site_fract_y
_atom_site_fract_z
_atom_site_occupancy
Si1 0.000 0.000 0.000 1
Hg1 0.000 0.500 0.750 1
Ru1 0.000 0.000 0.500 1
Ru2 0.000 0.500 0.250 1
# Spin magnetization ... 0.19 Bohr magnetons per cell

***

Arrangement two

# SiHgRu2 PBE optimized geometry
data_SiHgRu2
_symmetry_space_group_name_H-M 'R 3 m'
_symmetry_Int_Tables_number 160
_symmetry_space_group_name_Hall 'R 3 -2"'
_cell_length_a 2.8789
_cell_length_b 2.8789
_cell_length_c 26.5672
_cell_angle_alpha 90.00
_cell_angle_beta 90.00
_cell_angle_gamma 120.00
loop_
_atom_site_label
_atom_site_fract_x
_atom_site_fract_y
_atom_site_fract_z
_atom_site_occupancy
Si1 0.0000 0.0000 0.0000 1
Hg1 0.0000 0.0000 0.7615 1
Ru1 0.0000 0.0000 0.2639 1
Ru2 0.0000 0.0000 0.5199 1
# Spin magnetization ... 0.00 Bohr magnetons per cell

***

Arrangement three

# SiHgRu2 PBE optimized geometry
data_SiHgRu2
_symmetry_space_group_name_H-M 'P 1 2/m 1'
_symmetry_Int_Tables_number 10
_symmetry_space_group_name_Hall '-P 2y'
_cell_length_a 2.932
_cell_length_b 3.747
_cell_length_c 5.801
_cell_angle_alpha 90.00
_cell_angle_beta 102.16
_cell_angle_gamma 90.00
loop_
_atom_site_label
_atom_site_fract_x
_atom_site_fract_y
_atom_site_fract_z
_atom_site_occupancy
Si1 0.000 0.000 0.000 1
Hg1 0.000 0.000 0.500 1
Ru1 0.356 0.500 0.207 1
# Spin magnetization ... 0.00 Bohr magnetons per cell

***

Pick arrangement three: it beats the second-best structure by 244 meV per atom.

***

Arrangement one

# SiHgRu2 PBE optimized geometry
data_SiHgRu2
_symmetry_space_group_name_H-M 'P 4/m m m'
_symmetry_Int_Tables_number 123
_symmetry_space_group_name_Hall '-P 4 2'
_cell_length_a 4.415
_cell_length_b 4.415
_cell_length_c 3.093
_cell_angle_alpha 90.00
_cell_angle_beta 90.00
_cell_angle_gamma 90.00
loop_
_atom_site_label
_atom_site_fract_x
_atom_site_fract_y
_atom_site_fract_z
_atom_site_occupancy
Si1 0.000 0.000 0.000 1
Hg1 0.500 0.500 0.000 1
Ru1 0.000 0.500 0.500 1
# Spin magnetization ... 0.00 Bohr magnetons per cell

***

Arrangement two

# SiHgRu2 PBE optimized geometry
data_SiHgRu2
_symmetry_space_group_name_H-M 'F -4 3 m'
_symmetry_Int_Tables_number 216
_symmetry_space_group_name_Hall 'F -4 2 3'
_cell_length_a 6.292
_cell_length_b 6.292
_cell_length_c 6.292
_cell_angle_alpha 90.00
_cell_angle_beta 90.00
_cell_angle_gamma 90.00
loop_
_atom_site_label
_atom_site_fract_x
_atom_site_fract_y
_atom_site_fract_z
_atom_site_occupancy
Si1 0.000 0.000 0.000 1
Hg1 0.250 0.250 0.750 1
Ru1 0.000 0.000 0.500 1
Ru2 0.250 0.250 0.250 1
# Spin magnetization ... 0.00 Bohr magnetons per cell

***

Pick arrangement one: it beats the second-best structure by 336 meV per atom.